# NaGaPt3

An optimized crystal structure of NaGaPt3 (PBE, Alexandria).

Structure (CIF):
```
data_NaGaPt3
_space_group_name_H-M_alt 'P m -3 m'
_space_group_IT_number 221
_space_group_name_Hall '-P 4 2 3'
_cell_length_a 4.6184
_cell_length_b 4.6184
_cell_length_c 4.6184
_cell_angle_alpha 90.00
_cell_angle_beta 90.00
_cell_angle_gamma 90.00
loop_
_atom_site_label
_atom_site_fract_x
_atom_site_fract_y
_atom_site_fract_z
_atom_site_occupancy
Na1 0.0000 0.0000 0.0000 1
Ga1 0.5000 0.5000 0.5000 1
Pt1 0.0000 0.0000 0.5000 1
```

Values from the calculation:
For the distance to the lowest polymorph of the same formula, the calculation gives 1.449 eV/atom. As for the formation energy: 1208 meV/atom. As for the total energy: -16.4 eV for the cell shown. The total magnetization is 0.0 μB/f.u.